A plane-wave DFT calculation with PBE with a Hubbard U was carried out for an optimized crystal structure of LiV2P3O10.

abc: 8.7371 4.6844 9.2004
angles: 82.65 90.00 90.00
Closest atoms and distances in Å follow each position.
Element x y z (fractional)
Li (0.0000, 0.0000, 0.0000)  4 O 2.02-2.14
Li (0.5000, 0.0000, 0.0000)  4 O 2.02-2.14
V (0.0693, 0.9687, 0.3340)  6 O 2.15-2.24
V (0.4307, 0.9687, 0.3340)  6 O 2.15-2.24
V (0.5693, 0.0313, 0.6660)  6 O 2.15-2.24
V (0.9307, 0.0313, 0.6660)  6 O 2.15-2.24
P (0.2500, 0.6711, 0.8227)  4 O 1.51-1.61
P (0.7500, 0.5957, 0.4629)  4 O 1.53-1.62
P (0.7500, 0.4577, 0.8617)  4 O 1.53-1.65
P (0.2500, 0.5423, 0.1383)  4 O 1.53-1.65
P (0.2500, 0.4043, 0.5371)  4 O 1.53-1.62
P (0.7500, 0.3289, 0.1773)  4 O 1.51-1.61
O (0.1027, 0.8405, 0.8157)  1 P 1.51
O (0.3973, 0.8405, 0.8157)  1 P 1.51
O (0.7500, 0.7546, 0.7688)  1 P 1.54
O (0.6025, 0.7639, 0.4837)  1 P 1.54
O (0.8975, 0.7639, 0.4837)  1 P 1.54
O (0.2500, 0.7049, 0.4485)  1 P 1.53
O (0.1031, 0.7141, 0.1522)  1 P 1.53
O (0.3969, 0.7141, 0.1522)  1 P 1.53
O (0.2500, 0.4492, 0.9716)  2 P 1.61-1.65
O (0.7500, 0.5567, 0.2906)  2 P 1.58-1.62
O (0.2500, 0.4433, 0.7094)  2 P 1.58-1.62
O (0.7500, 0.5508, 0.0284)  2 P 1.61-1.65
O (0.6031, 0.2859, 0.8478)  1 P 1.53
O (0.8969, 0.2859, 0.8478)  1 P 1.53
O (0.7500, 0.2951, 0.5515)  1 P 1.53
O (0.1025, 0.2361, 0.5163)  1 P 1.54
O (0.3975, 0.2361, 0.5163)  1 P 1.54
O (0.2500, 0.2454, 0.2312)  1 P 1.54
O (0.6027, 0.1595, 0.1843)  1 P 1.51
O (0.8973, 0.1595, 0.1843)  1 P 1.51

Output
The value obtained for the total energy is -7.34 eV/atom. The total moment comes out at 6.000 μB per formula unit. Its symmetry is P2_1/m (11).